(1)
The following is a DFT calculation (PBE) of a relaxed Cd12Sn3Bi5 crystal.

a = 14.9549 Å, b = 14.9549 Å, c = 14.9549 Å
α = 109.47°, β = 109.47°, γ = 109.47°
Element x y z (fractional)
Cd (0.0646, 0.2363, 0.1318)
Cd (0.0646, 0.3282, 0.9327)
Cd (0.0673, 0.6318, 0.3955)
Cd (0.0673, 0.9354, 0.6718)
Cd (0.1045, 0.7363, 0.6718)
Cd (0.1045, 0.8682, 0.4327)
Cd (0.1318, 0.0646, 0.2363)
Cd (0.1318, 0.5673, 0.8955)
Cd (0.1718, 0.2363, 0.6045)
Cd (0.1718, 0.4354, 0.5673)
Cd (0.2363, 0.1318, 0.0646)
Cd (0.2363, 0.6045, 0.1718)
Cd (0.2637, 0.3282, 0.8955)
Cd (0.2637, 0.4354, 0.3682)
Cd (0.3282, 0.8955, 0.2637)
Cd (0.3282, 0.9327, 0.0646)
Cd (0.3682, 0.2637, 0.4354)
Cd (0.3682, 0.6045, 0.9327)
Cd (0.3955, 0.0673, 0.6318)
Cd (0.3955, 0.8282, 0.7637)
Cd (0.4327, 0.1045, 0.8682)
Cd (0.4327, 0.8282, 0.5646)
Cd (0.4354, 0.3682, 0.2637)
Cd (0.4354, 0.5673, 0.1718)
Cd (0.5646, 0.4327, 0.8282)
Cd (0.5646, 0.6318, 0.7363)
Cd (0.5673, 0.1718, 0.4354)
Cd (0.5673, 0.8955, 0.1318)
Cd (0.6045, 0.1718, 0.2363)
Cd (0.6045, 0.9327, 0.3682)
Cd (0.6318, 0.3955, 0.0673)
Cd (0.6318, 0.7363, 0.5646)
Cd (0.6718, 0.0673, 0.9354)
Cd (0.6718, 0.1045, 0.7363)
Cd (0.7363, 0.5646, 0.6318)
Cd (0.7363, 0.6718, 0.1045)
Cd (0.7637, 0.3955, 0.8282)
Cd (0.7637, 0.8682, 0.9354)
Cd (0.8282, 0.5646, 0.4327)
Cd (0.8282, 0.7637, 0.3955)
Cd (0.8682, 0.4327, 0.1045)
Cd (0.8682, 0.9354, 0.7637)
Cd (0.8955, 0.1318, 0.5673)
Cd (0.8955, 0.2637, 0.3282)
Cd (0.9327, 0.0646, 0.3282)
Cd (0.9327, 0.3682, 0.6045)
Cd (0.9354, 0.6718, 0.0673)
Cd (0.9354, 0.7637, 0.8682)
Sn (0.1250, 0.2500, 0.3750)
Sn (0.1250, 0.3750, 0.7500)
Sn (0.2500, 0.3750, 0.1250)
Sn (0.2500, 0.8750, 0.6250)
Sn (0.3750, 0.1250, 0.2500)
Sn (0.3750, 0.7500, 0.1250)
Sn (0.6250, 0.2500, 0.8750)
Sn (0.6250, 0.8750, 0.7500)
Sn (0.7500, 0.1250, 0.3750)
Sn (0.7500, 0.6250, 0.8750)
Sn (0.8750, 0.6250, 0.2500)
Sn (0.8750, 0.7500, 0.6250)
Bi (0.0000, 0.0000, 0.0000)
Bi (0.0000, 0.0000, 0.5000)
Bi (0.0000, 0.5000, 0.0000)
Bi (0.0000, 0.5000, 0.5000)
Bi (0.1250, 0.7500, 0.8750)
Bi (0.1250, 0.8750, 0.2500)
Bi (0.2500, 0.1250, 0.8750)
Bi (0.2500, 0.6250, 0.3750)
Bi (0.3750, 0.2500, 0.6250)
Bi (0.3750, 0.6250, 0.7500)
Bi (0.5000, 0.0000, 0.0000)
Bi (0.5000, 0.0000, 0.5000)
Bi (0.5000, 0.5000, 0.0000)
Bi (0.5000, 0.5000, 0.5000)
Bi (0.6250, 0.3750, 0.2500)
Bi (0.6250, 0.7500, 0.3750)
Bi (0.7500, 0.3750, 0.6250)
Bi (0.7500, 0.8750, 0.1250)
Bi (0.8750, 0.1250, 0.7500)
Bi (0.8750, 0.2500, 0.1250)

Values from the calculation:
Its raw total energy is -2.0099 eV/atom. The symmetry is Ia-3d. The total magnetization comes out at 0.0 Bohr magnetons per cell. Its formation energy is 0.110 eV/atom. The crystal system is cubic.


(2)
The following is a DFT calculation (PBE) of a relaxed Cd3SnBi crystal.

a = 5.5253 Å, b = 7.1925 Å, c = 7.5209 Å
α = 90.00°, β = 106.00°, γ = 90.00°
Element x y z (fractional)
Cd (0.0716, 0.0000, 0.1163)
Cd (0.2318, 0.2444, 0.4894)
Cd (0.4047, 0.0304, 0.8521)
Cd (0.5953, 0.5304, 0.1479)
Cd (0.7682, 0.7444, 0.5106)
Cd (0.9284, 0.5000, 0.8837)
Sn (0.1538, 0.6220, 0.2847)
Sn (0.8462, 0.1220, 0.7153)
Bi (0.3624, 0.6201, 0.7260)
Bi (0.6376, 0.1201, 0.2740)

Values from the calculation:
Its raw total energy is -2.0315 eV/atom. The energy above the most stable polymorph in this dataset comes out at 0.000 eV per formula unit. The symmetry is P2_1. The total magnetization comes out at 0.0 Bohr magnetons per cell. Its formation energy is 0.094 eV/atom. The crystal system is monoclinic.


(3)
The following is a DFT calculation (PBE) of a relaxed Cd3Sn12Bi5 crystal.

a = 15.3869 Å, b = 15.3869 Å, c = 15.3869 Å
α = 109.47°, β = 109.47°, γ = 109.47°
Element x y z (fractional)
Cd (0.1250, 0.2500, 0.3750)
Cd (0.1250, 0.3750, 0.7500)
Cd (0.2500, 0.3750, 0.1250)
Cd (0.2500, 0.8750, 0.6250)
Cd (0.3750, 0.1250, 0.2500)
Cd (0.3750, 0.7500, 0.1250)
Cd (0.6250, 0.2500, 0.8750)
Cd (0.6250, 0.8750, 0.7500)
Cd (0.7500, 0.1250, 0.3750)
Cd (0.7500, 0.6250, 0.8750)
Cd (0.8750, 0.6250, 0.2500)
Cd (0.8750, 0.7500, 0.6250)
Sn (0.0653, 0.6381, 0.3964)
Sn (0.0653, 0.9272, 0.6689)
Sn (0.0728, 0.2417, 0.1381)
Sn (0.0728, 0.3311, 0.9347)
Sn (0.1036, 0.7417, 0.6689)
Sn (0.1036, 0.8619, 0.4347)
Sn (0.1381, 0.0728, 0.2417)
Sn (0.1381, 0.5653, 0.8964)
Sn (0.1689, 0.2417, 0.6036)
Sn (0.1689, 0.4272, 0.5653)
Sn (0.2417, 0.1381, 0.0728)
Sn (0.2417, 0.6036, 0.1689)
Sn (0.2583, 0.3311, 0.8964)
Sn (0.2583, 0.4272, 0.3619)
Sn (0.3311, 0.8964, 0.2583)
Sn (0.3311, 0.9347, 0.0728)
Sn (0.3619, 0.2583, 0.4272)
Sn (0.3619, 0.6036, 0.9347)
Sn (0.3964, 0.0653, 0.6381)
Sn (0.3964, 0.8311, 0.7583)
Sn (0.4272, 0.3619, 0.2583)
Sn (0.4272, 0.5653, 0.1689)
Sn (0.4347, 0.1036, 0.8619)
Sn (0.4347, 0.8311, 0.5728)
Sn (0.5653, 0.1689, 0.4272)
Sn (0.5653, 0.8964, 0.1381)
Sn (0.5728, 0.4347, 0.8311)
Sn (0.5728, 0.6381, 0.7417)
Sn (0.6036, 0.1689, 0.2417)
Sn (0.6036, 0.9347, 0.3619)
Sn (0.6381, 0.3964, 0.0653)
Sn (0.6381, 0.7417, 0.5728)
Sn (0.6689, 0.0653, 0.9272)
Sn (0.6689, 0.1036, 0.7417)
Sn (0.7417, 0.5728, 0.6381)
Sn (0.7417, 0.6689, 0.1036)
Sn (0.7583, 0.3964, 0.8311)
Sn (0.7583, 0.8619, 0.9272)
Sn (0.8311, 0.5728, 0.4347)
Sn (0.8311, 0.7583, 0.3964)
Sn (0.8619, 0.4347, 0.1036)
Sn (0.8619, 0.9272, 0.7583)
Sn (0.8964, 0.1381, 0.5653)
Sn (0.8964, 0.2583, 0.3311)
Sn (0.9272, 0.6689, 0.0653)
Sn (0.9272, 0.7583, 0.8619)
Sn (0.9347, 0.0728, 0.3311)
Sn (0.9347, 0.3619, 0.6036)
Bi (0.0000, 0.0000, 0.0000)
Bi (0.0000, 0.0000, 0.5000)
Bi (0.0000, 0.5000, 0.0000)
Bi (0.0000, 0.5000, 0.5000)
Bi (0.1250, 0.7500, 0.8750)
Bi (0.1250, 0.8750, 0.2500)
Bi (0.2500, 0.1250, 0.8750)
Bi (0.2500, 0.6250, 0.3750)
Bi (0.3750, 0.2500, 0.6250)
Bi (0.3750, 0.6250, 0.7500)
Bi (0.5000, 0.0000, 0.0000)
Bi (0.5000, 0.0000, 0.5000)
Bi (0.5000, 0.5000, 0.0000)
Bi (0.5000, 0.5000, 0.5000)
Bi (0.6250, 0.3750, 0.2500)
Bi (0.6250, 0.7500, 0.3750)
Bi (0.7500, 0.3750, 0.6250)
Bi (0.7500, 0.8750, 0.1250)
Bi (0.8750, 0.1250, 0.7500)
Bi (0.8750, 0.2500, 0.1250)

Values from the calculation:
Its raw total energy is -3.3344 eV/atom. The symmetry is Ia-3d. The total magnetization comes out at 0.0 Bohr magnetons per cell. Its formation energy is 0.175 eV/atom. The crystal system is cubic.


(4)
The following is a DFT calculation (PBE) of a relaxed CdSn2Bi crystal.

a = 8.0925 Å, b = 8.0925 Å, c = 8.0925 Å
α = 129.67°, β = 129.67°, γ = 73.93°
Element x y z (fractional)
Cd (0.0000, 0.0000, 0.0000)
Cd (0.7500, 0.2500, 0.5000)
Sn (0.1084, 0.6250, 0.9834)
Sn (0.3750, 0.3584, 0.4834)
Sn (0.6416, 0.1250, 0.0166)
Sn (0.8750, 0.8916, 0.5166)
Bi (0.2500, 0.7500, 0.5000)
Bi (0.5000, 0.5000, 0.0000)

Values from the calculation:
Its raw total energy is -3.0360 eV/atom. The energy above the most stable polymorph in this dataset comes out at 0.333 eV per formula unit. The symmetry is I-42d. The total magnetization comes out at 0.0 Bohr magnetons per cell. Its formation energy is 0.164 eV/atom. The crystal system is tetragonal.


Q: Among the records above, which one has the highest raw total energy?
A: Cd12Sn3Bi5


Q: Look up the raw total energy of the third one.
A: -3.3344 eV/atom


Q: The lowest raw total energy belongs to which entry?
A: Cd3Sn12Bi5